1.
KLi2SnS, optimized geometry, DFT GGA-PBE; ΔE_f (raw) = -223.6 meV/atom; spin magnetization = 0.00 μB per cell; space-group type = P4/mmm, No. 123; density = 2.3 g/cm3
1.0
-3.326 -2.925 -2.712
3.743 -4.086 -0.184
-1.901 -1.941 4.425
S Li K Sn
1 2 1 1
Cartesian
1.871 -2.043 -0.092
-0.951 -0.970 2.213
-1.663 -1.462 -1.356
-0.742 -4.476 0.765
0.000 0.000 0.000

=====

2.
La4Ho2Pb3O2, optimized geometry, DFT GGA-PBE; ΔE_f (raw) = -1358.8 meV/atom; spin magnetization = 0.00 μB per cell; space-group type = I4/mmm, No. 139; density = 8.2 g/cm3
1.0
4.889 0.000 0.000
0.000 4.889 0.000
-2.444 -2.444 13.066
O Ho Pb La
2 2 3 4
Cartesian
2.444 2.444 2.875
0.000 0.000 10.191
2.444 2.444 5.110
0.000 0.000 7.956
2.444 2.444 8.292
0.000 0.000 0.000
0.000 0.000 4.775
0.000 2.444 2.245
2.444 0.000 2.245
0.000 2.444 10.821
2.444 0.000 10.821

=====

3.
MgRhC3, optimized geometry, DFT GGA-PBE; relative energy among the computed polymorphs = 1062.6 meV per atom; spin magnetization = 0.00 μB per cell; space-group type = Pm-3m, No. 221; density = 4.3 g/cm3; ΔE_f = 15.46 eV per formula unit
1.0
-2.453 -0.674 3.062
-2.869 -1.086 -2.537
1.264 -3.770 0.184
C Rh Mg
3 1 1
Cartesian
-1.434 -0.543 -1.269
0.632 -1.885 0.092
-1.226 -0.337 1.531
-2.029 -2.765 0.354
0.000 0.000 0.000

=====

4.
La2NdBi, optimized geometry, DFT GGA-PBE; relative energy among the computed polymorphs = 0.0 meV per atom; spin magnetization = 0.00 μB per cell; space-group type = P4/mmm, No. 123; density = 8.1 g/cm3; ΔE_f = -1.97 eV per formula unit
1.0
5.103 0.000 0.000
0.000 5.021 0.000
0.000 0.000 5.021
La Nd Bi
2 1 1
Cartesian
0.000 0.000 2.510
0.000 2.510 0.000
2.552 0.000 0.000
2.552 2.510 2.510

=====

5.
Ca2NF, optimized geometry, DFT GGA-PBE; ΔE_f (raw) = -1686.1 meV/atom; spin magnetization = 0.00 μB per cell; space-group type = Fm-3m, No. 225; density = 3.4 g/cm3
1.0
0.000 3.016 3.016
3.016 0.000 3.016
3.016 3.016 0.000
N Ca F
1 2 1
Cartesian
0.000 0.000 0.000
1.508 1.508 1.508
4.525 4.525 4.525
3.016 3.016 3.016

=====

6.
MgHgO2F, optimized geometry, DFT GGA-PBE; ΔE_f (raw) = -562.2 meV/atom; spin magnetization = 0.00 μB per cell; space-group type = P4/mmm, No. 123; density = 5.8 g/cm3
1.0
-3.438 -0.841 -2.251
0.423 -4.080 0.878
-2.514 0.523 3.644
O Hg Mg F
2 1 1 1
Cartesian
0.212 -2.040 0.439
-1.719 -0.421 -1.125
0.000 0.000 0.000
-2.764 -2.199 1.136
-1.257 0.262 1.822

=====

7.
Ba2Sr2Hg3, optimized geometry, DFT GGA-PBE; spin magnetization = 0.00 μB per cell; space-group type = R-3m, No. 166; density = 6.3 g/cm3; ΔE_f = -3.04 eV per formula unit
1.0
-4.860 1.532 -2.654
1.664 -5.500 -0.004
-2.231 -0.681 9.913
Sr Hg Ba
2 3 2
Cartesian
-3.245 -0.983 -0.844
-2.182 -3.666 8.098
0.000 0.000 0.000
-3.715 -1.126 6.152
-1.712 -3.523 1.102
-3.618 -4.098 4.259
-1.809 -0.551 2.996

=====

8.
Tm6Ge2SbAs3, optimized geometry, DFT GGA-PBE; ΔE_f (raw) = -1123.3 meV/atom; spin magnetization = 0.00 μB per cell; space-group type = C2/m, No. 12; density = 8.4 g/cm3
1.0
4.040 0.000 0.000
0.000 8.401 0.102
-2.020 -2.628 8.699
Ge Tm Sb As
2 6 1 3
Cartesian
2.020 3.828 5.844
0.000 1.945 2.957
2.020 -0.402 8.724
2.020 4.089 2.936
0.000 5.979 5.784
0.000 1.685 5.865
0.000 6.175 0.078
2.020 -0.206 3.017
2.020 0.000 0.000
2.020 -0.371 5.855
0.000 6.145 2.946
2.020 4.201 0.051

=====

9.
Sm4Ag2HgAu, optimized geometry, DFT GGA-PBE; spin magnetization = 0.00 μB per cell; space-group type = R-3m, No. 166; density = 9.8 g/cm3; ΔE_f = -3.70 eV per formula unit
1.0
5.261 0.000 0.000
2.630 4.556 0.000
2.630 1.519 8.588
Sm Ag Hg Au
4 2 1 1
Cartesian
2.630 1.519 5.289
7.891 4.556 3.298
5.261 3.037 1.156
5.261 3.037 7.432
7.891 4.556 6.536
2.630 1.519 2.052
0.000 0.000 0.000
5.261 3.037 4.294

=====

10.
Eu3PuO, optimized geometry, DFT GGA-PBE; ΔE_f (raw) = -832.5 meV/atom; spin magnetization = 29.38 μB per cell; space-group type = Pm-3m, No. 221; density = 8.6 g/cm3
1.0
5.166 0.000 0.000
0.000 5.166 0.000
0.000 0.000 5.166
O Eu Pu
1 3 1
Cartesian
0.000 0.000 0.000
0.000 2.583 0.000
0.000 0.000 2.583
2.583 0.000 0.000
2.583 2.583 2.583

=====

Which value of density does entry 3 give?
4.3 g/cm3

=====

Repeat the tenth record exactly.
Eu3PuO, optimized geometry, DFT GGA-PBE; ΔE_f (raw) = -832.5 meV/atom; spin magnetization = 29.38 μB per cell; space-group type = Pm-3m, No. 221; density = 8.6 g/cm3
1.0
5.166 0.000 0.000
0.000 5.166 0.000
0.000 0.000 5.166
O Eu Pu
1 3 1
Cartesian
0.000 0.000 0.000
0.000 2.583 0.000
0.000 0.000 2.583
2.583 0.000 0.000
2.583 2.583 2.583

=====

What is the density in the eighth record?
8.4 g/cm3

=====

Which of these has the lowest density?
KLi2SnS